No. 1
Co2CuSb after structural relaxation. Source: Alexandria via LeMat-Bulk, functional PBE.

Cell lengths 4.2563, 4.2563, 4.2563 Å; angles 60.00, 60.00, 60.00 degrees
Last column: nearest neighbours and their distance in Å.
Positions (direct):
Co (0.2500, 0.2500, 0.2500)  4 Co 2.61, 4 Cu 2.61
Co (0.0000, 0.0000, 0.0000)  4 Sb 2.61, 4 Co 2.61
Cu (0.5000, 0.5000, 0.5000)  4 Co 2.61, 4 Sb 2.61
Sb (0.7500, 0.7500, 0.7500)  4 Cu 2.61, 4 Co 2.61

Summary:
**Calculated volume**: 54.52 Å³ per cell
**Calculated density**: 9.23 Mg/m³
**DOS at the Fermi energy**: 6.8 states/eV per cell
**ΔE_f (raw)**: 233.2 meV per atom



No. 2
NdPuCdSi after structural relaxation. Source: Alexandria via LeMat-Bulk, functional PBE.

Cell lengths 5.2222, 5.2222, 5.2222 Å; angles 60.00, 60.00, 60.00 degrees
Last column: nearest neighbours and their distance in Å.
Positions (direct):
Cd (0.2500, 0.2500, 0.2500)  4 Nd 3.20, 4 Pu 3.20
Nd (0.5000, 0.5000, 0.5000)  4 Si 3.20, 4 Cd 3.20
Pu (0.0000, 0.0000, 0.0000)  4 Cd 3.20, 4 Si 3.20
Si (0.7500, 0.7500, 0.7500)  4 Pu 3.20, 4 Nd 3.20

Summary:
**Calculated volume**: 100.70 Å³ per cell
**Calculated density**: 8.72 Mg/m³
**DOS at the Fermi energy**: 10.4 states/eV per cell
**ΔE_f (raw)**: -206.3 meV per atom



ΔE_f (raw) of number 1 (Co2CuSb)? 233.2 meV per atom